# PBE Zn5Ir3, relaxed
# Energy above the lowest structure with this stoichiometry   119 meV per atom
# DOS(E_F)   0.4793 states/eV per atom
# Formation energy from the elements   -0.0621 eV per atom
# Electronic total energy   -4.181 eV/atom
data_Zn5Ir3
_cell_length_a 7.5452
_cell_length_b 7.5452
_cell_length_c 4.8808
_cell_angle_alpha 90.00
_cell_angle_beta 90.00
_cell_angle_gamma 120.00
_space_group_name_H-M_alt 'P 63/m c m'
_space_group_IT_number 193
_space_group_name_Hall '-P 6c 2'
loop_
_atom_site_label
_atom_site_type_symbol
_atom_site_fract_x
_atom_site_fract_y
_atom_site_fract_z
_atom_site_occupancy
Zn1 Zn 0.0000 0.2450 0.2500 1
Zn2 Zn 0.3333 0.6667 0.0000 1
Ir1 Ir 0.0000 0.3908 0.7500 1

---

# PBE Pm2NdZr, relaxed
# Energy above the lowest structure with this stoichiometry   216 meV per atom
# DOS(E_F)   1.2821 states/eV per atom
# Formation energy from the elements   0.3319 eV per atom
# Electronic total energy   -5.372 eV/atom
data_Pm2NdZr
_cell_length_a 3.4335
_cell_length_b 3.4335
_cell_length_c 36.7512
_cell_angle_alpha 90.00
_cell_angle_beta 90.00
_cell_angle_gamma 120.00
_space_group_name_H-M_alt 'R -3 m'
_space_group_IT_number 166
_space_group_name_Hall '-R 3 2"'
loop_
_atom_site_label
_atom_site_type_symbol
_atom_site_fract_x
_atom_site_fract_y
_atom_site_fract_z
_atom_site_occupancy
Pm1 Pm 0.0000 0.0000 0.0846 1
Nd1 Nd 0.0000 0.0000 0.5000 1
Zr1 Zr 0.0000 0.0000 0.0000 1

---

# PBE SmSn3Ru2, relaxed
# DOS(E_F)   0.6163 states/eV per atom
# Formation energy from the elements   -0.3088 eV per atom
# Electronic total energy   -6.189 eV/atom
data_SmSn3Ru2
_cell_length_a 9.708
_cell_length_b 8.695
_cell_length_c 6.036
_cell_angle_alpha 90.00
_cell_angle_beta 90.00
_cell_angle_gamma 90.00
_space_group_name_H-M_alt 'C m c m'
_space_group_IT_number 63
_space_group_name_Hall '-C 2c 2'
loop_
_atom_site_label
_atom_site_type_symbol
_atom_site_fract_x
_atom_site_fract_y
_atom_site_fract_z
_atom_site_occupancy
Sm1 Sm 0.000 0.103 0.250 1
Sn1 Sn 0.000 0.456 0.250 1
Sn2 Sn 0.166 0.230 0.750 1
Ru1 Ru 0.225 0.500 0.000 1

---

# PBE RbNp2RuO8, relaxed
# DOS(E_F)   0.5185 states/eV per atom
# Electronic total energy   -8.395 eV/atom
data_RbNp2RuO8
_cell_length_a 5.085
_cell_length_b 5.090
_cell_length_c 7.107
_cell_angle_alpha 85.49
_cell_angle_beta 85.44
_cell_angle_gamma 85.24
_space_group_name_H-M_alt 'P -1'
_space_group_IT_number 2
loop_
_space_group_symop_operation_xyz
'x,y,z'
'-x,-y,-z'
loop_
_atom_site_label
_atom_site_type_symbol
_atom_site_fract_x
_atom_site_fract_y
_atom_site_fract_z
_atom_site_occupancy
Rb1 Rb 0.000 0.000 0.000 1
Np1 Np 0.477 0.477 0.259 1
Ru1 Ru 0.000 0.000 0.500 1
O1 O 0.210 0.777 0.689 1
O2 O 0.225 0.791 0.310 1
O3 O 0.283 0.284 0.477 1
O4 O 0.344 0.347 0.967 1

---

# PBE BeInRh2, relaxed
# DOS(E_F)   0.3370 states/eV per atom
# Formation energy from the elements   -0.4381 eV per atom
# Electronic total energy   -5.730 eV/atom
data_BeInRh2
_cell_length_a 2.988
_cell_length_b 2.996
_cell_length_c 6.232
_cell_angle_alpha 90.00
_cell_angle_beta 90.16
_cell_angle_gamma 90.00
_space_group_name_H-M_alt 'P 1 2/m 1'
_space_group_IT_number 10
loop_
_space_group_symop_operation_xyz
'x,y,z'
'-x,-y,-z'
'-x,y,-z'
'x,-y,z'
loop_
_atom_site_label
_atom_site_type_symbol
_atom_site_fract_x
_atom_site_fract_y
_atom_site_fract_z
_atom_site_occupancy
Be1 Be 0.000 0.000 0.000 1
In1 In 0.000 0.000 0.500 1
Rh1 Rh 0.499 0.500 0.215 1

---

# PBE BaCaAl2, relaxed
# Energy above the lowest structure with this stoichiometry   39 meV per atom
# DOS(E_F)   0.7285 states/eV per atom
# Formation energy from the elements   -0.1476 eV per atom
# Electronic total energy   -3.000 eV/atom
data_BaCaAl2
_cell_length_a 4.584
_cell_length_b 4.274
_cell_length_c 13.389
_cell_angle_alpha 90.00
_cell_angle_beta 90.00
_cell_angle_gamma 90.00
_space_group_name_H-M_alt 'A m m 2'
_space_group_IT_number 38
loop_
_space_group_symop_operation_xyz
'x,y,z'
'-x,-y,z'
'-x,y,z'
'x,-y,z'
'x,y+1/2,z+1/2'
'-x,-y+1/2,z+1/2'
'-x,y+1/2,z+1/2'
'x,-y+1/2,z+1/2'
loop_
_atom_site_label
_atom_site_type_symbol
_atom_site_fract_x
_atom_site_fract_y
_atom_site_fract_z
_atom_site_occupancy
Ba1 Ba 0.000 0.000 0.000 1
Ca1 Ca 0.500 0.000 0.707 1
Al1 Al 0.000 0.000 0.279 1
Al2 Al 0.500 0.000 0.388 1

---

# PBE LiAgO3, relaxed
# DOS(E_F)   1.7635 states/eV per atom
# Electronic total energy   -3.553 eV/atom
data_LiAgO3
_cell_length_a 3.626
_cell_length_b 3.626
_cell_length_c 3.626
_cell_angle_alpha 90.00
_cell_angle_beta 90.00
_cell_angle_gamma 90.00
_space_group_name_H-M_alt 'P m -3 m'
_space_group_IT_number 221
_space_group_name_Hall '-P 4 2 3'
loop_
_atom_site_label
_atom_site_type_symbol
_atom_site_fract_x
_atom_site_fract_y
_atom_site_fract_z
_atom_site_occupancy
Li1 Li 0.000 0.000 0.000 1
Ag1 Ag 0.500 0.500 0.500 1
O1 O 0.000 0.000 0.500 1

---

# PBE KLiNi2Te, relaxed
# DOS(E_F)   1.0187 states/eV per atom
# Electronic total energy   -2.199 eV/atom
data_KLiNi2Te
_cell_length_a 4.699
_cell_length_b 4.699
_cell_length_c 6.114
_cell_angle_alpha 90.00
_cell_angle_beta 90.00
_cell_angle_gamma 90.00
_space_group_name_H-M_alt 'P 4/m m m'
_space_group_IT_number 123
_space_group_name_Hall '-P 4 2'
loop_
_atom_site_label
_atom_site_type_symbol
_atom_site_fract_x
_atom_site_fract_y
_atom_site_fract_z
_atom_site_occupancy
K1 K 0.000 0.000 0.000 1
Li1 Li 0.500 0.500 0.500 1
Ni1 Ni 0.000 0.500 0.000 1
Te1 Te 0.000 0.000 0.500 1

---

# PBE Cs2AgI, relaxed
# Energy above the lowest structure with this stoichiometry   102 meV per atom
# DOS(E_F)   0.0000 states/eV per atom
# Electronic total energy   -2.165 eV/atom
data_Cs2AgI
_cell_length_a 8.765
_cell_length_b 8.765
_cell_length_c 16.901
_cell_angle_alpha 90.00
_cell_angle_beta 90.00
_cell_angle_gamma 90.00
_space_group_name_H-M_alt 'I -4 2 d'
_space_group_IT_number 122
_space_group_name_Hall 'I -4 2bw'
loop_
_atom_site_label
_atom_site_type_symbol
_atom_site_fract_x
_atom_site_fract_y
_atom_site_fract_z
_atom_site_occupancy
Cs1 Cs 0.245 0.250 0.125 1
Ag1 Ag 0.000 0.000 0.000 1
I1 I 0.000 0.000 0.500 1

---

# PBE IrPt2Br, relaxed
# Energy above the lowest structure with this stoichiometry   64 meV per atom
# DOS(E_F)   1.0813 states/eV per atom
# Electronic total energy   -5.214 eV/atom
data_IrPt2Br
_cell_length_a 8.922
_cell_length_b 2.875
_cell_length_c 6.670
_cell_angle_alpha 90.00
_cell_angle_beta 100.87
_cell_angle_gamma 90.00
_space_group_name_H-M_alt 'C 1 m 1'
_space_group_IT_number 8
loop_
_space_group_symop_operation_xyz
'x,y,z'
'x,-y,z'
'x+1/2,y+1/2,z'
'x+1/2,-y+1/2,z'
loop_
_atom_site_label
_atom_site_type_symbol
_atom_site_fract_x
_atom_site_fract_y
_atom_site_fract_z
_atom_site_occupancy
Ir1 Ir 0.000 0.000 0.000 1
Pt1 Pt 0.002 0.500 0.668 1
Pt2 Pt 0.255 0.000 0.869 1
Br1 Br 0.088 0.500 0.328 1

---

# PBE BaAc5Sn6, relaxed
# DOS(E_F)   0.7986 states/eV per atom
# Formation energy from the elements   -0.5923 eV per atom
# Electronic total energy   -4.466 eV/atom
data_BaAc5Sn6
_cell_length_a 8.959
_cell_length_b 17.017
_cell_length_c 6.757
_cell_angle_alpha 90.00
_cell_angle_beta 121.00
_cell_angle_gamma 90.00
_space_group_name_H-M_alt 'C 1 2/m 1'
_space_group_IT_number 12
loop_
_space_group_symop_operation_xyz
'x,y,z'
'-x,-y,-z'
'-x,y,-z'
'x,-y,z'
'x+1/2,y+1/2,z'
'-x+1/2,-y+1/2,-z'
'-x+1/2,y+1/2,-z'
'x+1/2,-y+1/2,z'
loop_
_atom_site_label
_atom_site_type_symbol
_atom_site_fract_x
_atom_site_fract_y
_atom_site_fract_z
_atom_site_occupancy
Ba1 Ba 0.000 0.000 0.000 1
Ac1 Ac 0.000 0.134 0.500 1
Ac2 Ac 0.000 0.313 0.000 1
Ac3 Ac 0.000 0.500 0.500 1
Sn1 Sn 0.189 0.500 0.149 1
Sn2 Sn 0.197 0.320 0.658 1

---

# PBE Tb3Mn2C4, relaxed
# DOS(E_F)   0.3919 states/eV per atom
# Formation energy from the elements   -0.0441 eV per atom
# Electronic total energy   -7.725 eV/atom
data_Tb3Mn2C4
_cell_length_a 11.337
_cell_length_b 3.244
_cell_length_c 6.883
_cell_angle_alpha 90.00
_cell_angle_beta 91.57
_cell_angle_gamma 90.00
_space_group_name_H-M_alt 'C 1 2/m 1'
_space_group_IT_number 12
loop_
_space_group_symop_operation_xyz
'x,y,z'
'-x,-y,-z'
'-x,y,-z'
'x,-y,z'
'x+1/2,y+1/2,z'
'-x+1/2,-y+1/2,-z'
'-x+1/2,y+1/2,-z'
'x+1/2,-y+1/2,z'
loop_
_atom_site_label
_atom_site_type_symbol
_atom_site_fract_x
_atom_site_fract_y
_atom_site_fract_z
_atom_site_occupancy
Tb1 Tb 0.000 0.000 0.000 1
Tb2 Tb 0.130 0.500 0.550 1
Mn1 Mn 0.229 0.500 0.147 1
C1 C 0.156 0.500 0.904 1
C2 C 0.167 0.000 0.300 1

---

Copy entry 12 word for word.
# PBE Tb3Mn2C4, relaxed
# DOS(E_F)   0.3919 states/eV per atom
# Formation energy from the elements   -0.0441 eV per atom
# Electronic total energy   -7.725 eV/atom
data_Tb3Mn2C4
_cell_length_a 11.337
_cell_length_b 3.244
_cell_length_c 6.883
_cell_angle_alpha 90.00
_cell_angle_beta 91.57
_cell_angle_gamma 90.00
_space_group_name_H-M_alt 'C 1 2/m 1'
_space_group_IT_number 12
loop_
_space_group_symop_operation_xyz
'x,y,z'
'-x,-y,-z'
'-x,y,-z'
'x,-y,z'
'x+1/2,y+1/2,z'
'-x+1/2,-y+1/2,-z'
'-x+1/2,y+1/2,-z'
'x+1/2,-y+1/2,z'
loop_
_atom_site_label
_atom_site_type_symbol
_atom_site_fract_x
_atom_site_fract_y
_atom_site_fract_z
_atom_site_occupancy
Tb1 Tb 0.000 0.000 0.000 1
Tb2 Tb 0.130 0.500 0.550 1
Mn1 Mn 0.229 0.500 0.147 1
C1 C 0.156 0.500 0.904 1
C2 C 0.167 0.000 0.300 1

---

Look up the electronic total energy of the fourth one.
-8.395 eV/atom

---

Repeat the seventh record exactly.
# PBE LiAgO3, relaxed
# DOS(E_F)   1.7635 states/eV per atom
# Electronic total energy   -3.553 eV/atom
data_LiAgO3
_cell_length_a 3.626
_cell_length_b 3.626
_cell_length_c 3.626
_cell_angle_alpha 90.00
_cell_angle_beta 90.00
_cell_angle_gamma 90.00
_space_group_name_H-M_alt 'P m -3 m'
_space_group_IT_number 221
_space_group_name_Hall '-P 4 2 3'
loop_
_atom_site_label
_atom_site_type_symbol
_atom_site_fract_x
_atom_site_fract_y
_atom_site_fract_z
_atom_site_occupancy
Li1 Li 0.000 0.000 0.000 1
Ag1 Ag 0.500 0.500 0.500 1
O1 O 0.000 0.000 0.500 1